#i
8
Lattice="-0.1304 -3.0223 -1.9821 3.5660 1.3513 -2.2950 6.8636 -5.2593 7.5678" Properties=species:S:1:pos:R:3 comment="Tm4Al3Zn PBE-GGA optimized geometry" n_ef_per_ev_fu=7.07 pbc="T T T"
Al 2.9632 -2.2706 3.2672
Al 6.3420 -6.4208 6.0735
Al 5.6794 -2.3100 3.1486
Zn 2.1907 -1.1979 -1.6172
Tm 7.5856 -3.7706 5.2504
Tm 4.0518 -2.6239 0.4348
Tm 4.4528 -4.9731 3.9904
Tm 1.0602 -0.8124 1.1690

---

#ii
8
Lattice="-2.5165 -1.2904 -2.1353 2.1613 -2.6427 -0.9501 -4.9833 -7.9040 10.6497" Properties=species:S:1:pos:R:3 comment="Tm4Al3Zn PBE-GGA optimized geometry" n_ef_per_ev_fu=4.11 pbc="T T T"
Tm -0.6038 -0.9578 1.2905
Tm -1.8644 -2.9571 3.9843
Tm -4.3795 -6.9462 9.3593
Tm -3.1190 -4.9469 6.6654
Al -3.9264 -7.9124 6.4687
Al -1.4122 -3.9247 1.0957
Al -2.6693 -5.9186 3.7822
Zn -0.1776 -1.9666 -1.5427

---

The most stable of them is #ii.

---

#i
14
Lattice="-2.2522 -7.2442 -1.1429 5.0527 -5.7360 0.6518 -0.2339 -4.7725 4.9627" Properties=species:S:1:pos:R:3 comment="TmAl3Zn3 PBE-GGA optimized geometry" n_ef_per_ev_fu=2.97 pbc="T T T"
Al 1.9248 -6.5921 3.2904
Al 2.7328 -10.8478 3.1043
Al -1.2655 -9.3641 2.3228
Al 3.8321 -8.3887 2.1489
Al 0.6418 -11.1607 1.1812
Al -0.1662 -6.9050 1.3673
Zn 3.6038 -8.8907 4.6589
Zn 2.8895 -6.2334 0.9356
Zn 3.2201 -11.0668 0.5906
Zn -0.6535 -6.6860 3.8811
Zn -0.3229 -11.5194 3.5360
Zn -1.0372 -8.8621 -0.1872
Tm 1.6536 -13.4182 4.5453
Tm 0.9130 -4.3346 -0.0737

---

#ii
14
Lattice="-5.3473 4.2131 0.7927 -4.2122 -4.9278 -2.2239 -0.7972 -2.2223 6.4341" Properties=species:S:1:pos:R:3 comment="TmAl3Zn3 PBE-GGA optimized geometry" n_ef_per_ev_fu=5.48 pbc="T T T"
Al -3.4429 -1.4106 -0.9138
Al -6.1166 0.6959 -0.5175
Al -2.8729 1.5510 2.0048
Al -3.5577 -4.8070 1.5491
Al -3.2715 0.4398 5.2219
Al -1.4516 -2.3431 2.6611
Tm -5.1783 -1.4685 2.5014
Tm 0.0000 0.0000 0.0000
Zn -4.4090 2.0486 3.8115
Zn -2.3054 -3.0195 0.4966
Zn -1.7354 -0.0579 3.4152
Zn -5.8328 -1.5893 -1.2716
Zn -2.7040 -4.1306 3.7136
Zn -3.7267 0.8746 -0.1597

---

#iii
14
Lattice="-8.1550 -2.1032 0.2608 -2.8319 -6.4676 -4.5984 -2.3914 -7.1356 3.7893" Properties=species:S:1:pos:R:3 comment="TmAl3Zn3 PBE-GGA optimized geometry" n_ef_per_ev_fu=7.87 pbc="T T T"
Zn -7.8486 -8.2697 1.0258
Zn -7.1298 -6.1248 -0.1133
Zn -5.5297 -7.4367 -1.5740
Zn -6.2485 -9.5817 -0.4349
Zn -7.9810 -8.0689 -1.4956
Zn -5.3972 -7.6375 0.9474
Al -9.3474 -8.8081 2.7060
Al -5.6789 -11.8159 -0.6428
Al -7.6993 -3.8905 0.0946
Al -3.7273 -7.3587 2.5263
Al -9.6510 -8.3478 -3.0745
Al -4.0309 -6.8983 -3.2543
Tm -10.0337 -11.7798 -0.4112
Tm -3.3446 -3.9266 -0.1371

---

The most stable of them is #i.

---

#i
10
Lattice="-2.7434 1.6985 3.7756 -2.2149 -4.4282 0.3827 5.5171 -2.0511 8.1982" Properties=species:S:1:pos:R:3 comment="Tm3AlZn PBE-GGA optimized geometry" n_ef_per_ev_fu=3.53 pbc="T T T"
Al 0.5092 -0.8349 9.3966
Al -1.7291 -2.8446 5.4077
Tm 0.6881 -3.5906 10.7663
Tm -1.9080 -0.0890 4.0380
Tm 0.6282 -1.1567 6.3612
Tm 3.1530 -2.2197 8.6740
Tm 0.8954 -4.2213 4.6675
Tm -1.6294 -3.1584 2.3547
Zn 0.7705 -3.8970 7.6974
Zn 0.7530 -1.4811 3.3313

---

#ii
10
Lattice="-3.9177 -2.2675 -1.7184 4.3776 -6.3080 -1.6564 -3.4553 0.6465 7.0244" Properties=species:S:1:pos:R:3 comment="Tm3AlZn PBE-GGA optimized geometry" n_ef_per_ev_fu=2.53 pbc="T T T"
Al -1.1728 -5.6895 -0.0503
Al -1.8226 -2.2396 3.6998
Tm -3.0374 -5.0545 3.3628
Tm 0.0421 -2.8746 0.2867
Tm 1.8877 -5.5338 -0.4120
Tm -3.4262 -2.6682 1.1003
Tm -4.8830 -2.3953 4.0615
Tm 0.4308 -5.2609 2.5492
Zn 0.0000 0.0000 0.0000
Zn -1.9588 -1.1338 -0.8592

---

The most stable of them is #i.

---

#i
9
Lattice="-0.7805 -2.0208 2.3948 7.4753 -0.4207 2.0815 -4.5955 5.4470 3.0985" Properties=species:S:1:pos:R:3 comment="TmZr2Al6 PBE-GGA optimized geometry" n_ef_per_ev_fu=4.74 pbc="T T T"
Zr -0.5719 3.4911 2.7595
Zr 2.6711 -0.4856 4.8153
Tm -4.5955 5.4470 3.0985
Al -1.9318 0.8168 2.2368
Al -3.4442 2.6094 3.2565
Al 0.5757 0.6757 2.9350
Al -0.0181 4.1570 5.6791
Al 2.1173 -1.1515 1.8956
Al 1.5235 2.3299 4.6397

---

#ii
9
Lattice="4.2329 0.0000 0.0000 2.1164 7.2467 1.5765 2.1164 2.9758 6.7930" Properties=species:S:1:pos:R:3 comment="TmZr2Al6 PBE-GGA optimized geometry" n_ef_per_ev_fu=4.50 pbc="T T T"
Zr 6.3493 6.3082 5.1647
Zr 2.1164 3.9143 3.2048
Al 4.2329 8.3135 4.2422
Al 4.2329 4.4229 1.0569
Al 4.2329 5.9191 3.1980
Al 4.2329 5.7997 7.3126
Al 4.2329 4.3035 5.1714
Al 4.2329 1.9091 4.1273
Tm 0.0000 0.0000 0.0000

---

The most stable of them is #i.

---

#i
5
Lattice="5.1716 0.0000 0.0000 0.0000 5.1716 0.0000 0.0000 0.0000 5.1716" Properties=species:S:1:pos:R:3 comment="U4Al PBE-GGA optimized geometry" n_ef_per_ev_fu=29.27 pbc="T T T"
U 0.0000 0.0000 0.0000
U 2.5858 2.5858 0.0000
U 0.0000 2.5858 2.5858
U 2.5858 0.0000 2.5858
Al 2.5858 2.5858 2.5858

---

#ii
10
Lattice="2.6881 -4.2454 5.1265 -0.1921 2.0965 6.8628 -4.4062 -3.2686 4.6296" Properties=species:S:1:pos:R:3 comment="U4Al PBE-GGA optimized geometry" n_ef_per_ev_fu=15.14 pbc="T T T"
U -0.7731 -0.5096 10.0352
U -0.6507 -1.8456 5.6618
U -1.6145 -6.2622 10.7384
U 1.0710 -2.8432 12.1616
U -3.4500 -2.2207 11.8449
U -3.4587 -3.9286 8.6120
U 1.0623 -4.5511 8.9287
U -1.7369 -4.9262 15.1118
Al -1.4326 -4.0631 12.4642
Al -0.9551 -2.7087 8.3095

---

The most stable of them is #ii.

---

#i
3
Lattice="-0.5433 -0.1919 2.6283 2.6350 0.0043 0.5450 -1.1568 7.0156 -1.1042" Properties=species:S:1:pos:R:3 comment="UAlV PBE-GGA optimized geometry" n_ef_per_ev_fu=4.54 pbc="T T T"
U -0.0738 4.6021 0.3208
Al -0.0028 0.1774 0.0124
V 1.0115 2.0485 1.7360

---

#ii
6
Lattice="-0.8321 -1.7686 -2.0831 3.1138 -2.3943 2.7539 -7.5064 -0.3345 3.2902" Properties=species:S:1:pos:R:3 comment="UAlV PBE-GGA optimized geometry" n_ef_per_ev_fu=3.92 pbc="T T T"
Al 0.3606 -1.0643 0.7624
Al -5.5853 -3.4330 3.1986
U -1.6813 -3.2538 1.4852
U -3.5434 -1.2435 2.4758
V 0.9687 -3.3430 2.4558
V -6.1933 -1.1543 1.5051

---

#iii
3
Lattice="-2.6556 0.9124 -0.3854 0.5369 -2.7793 0.1429 -1.0026 0.1839 7.3451" Properties=species:S:1:pos:R:3 comment="UAlV PBE-GGA optimized geometry" n_ef_per_ev_fu=3.93 pbc="T T T"
U -1.1894 -1.4273 4.8175
Al -0.0229 0.0042 0.1678
V -1.9090 -0.2599 2.1173

---

The most stable of them is #ii.